Record 1
The following is a GGA-PBEsol calculation of a relaxed Hf20Co5P11 crystal, from Alexandria via LeMat-Bulk.

abc: 10.0709 3.5445 16.8494
angles: 90.00 90.22 90.00
Atoms (fractional coordinates):
Hf: 0.0000 0.0000 0.0000
Hf: 0.0010 0.0000 0.4997
Hf: 0.0688 0.0000 0.7018
Hf: 0.1315 0.5000 0.8555
Hf: 0.1938 0.5000 0.2554
Hf: 0.2347 0.5000 0.5616
Hf: 0.2670 0.0000 0.1043
Hf: 0.3105 0.0000 0.4088
Hf: 0.3753 0.0000 0.8095
Hf: 0.4388 0.5000 0.9637
Hf: 0.5004 0.5000 0.1639
Hf: 0.5068 0.5000 0.6639
Hf: 0.5730 0.5000 0.4647
Hf: 0.6317 0.0000 0.3108
Hf: 0.6933 0.0000 0.9087
Hf: 0.7389 0.0000 0.5985
Hf: 0.7671 0.5000 0.0607
Hf: 0.8117 0.5000 0.7546
Hf: 0.8720 0.5000 0.3596
Hf: 0.9385 0.0000 0.2000
Co: 0.1185 0.5000 0.4195
Co: 0.3893 0.0000 0.2437
Co: 0.6198 0.0000 0.7449
Co: 0.7555 0.0000 0.4457
Co: 0.8870 0.5000 0.9198
P: 0.0654 0.0000 0.3393
P: 0.0675 0.5000 0.1138
P: 0.2476 0.0000 0.9486
P: 0.2594 0.5000 0.7166
P: 0.4326 0.0000 0.5505
P: 0.4400 0.5000 0.3238
P: 0.5651 0.5000 0.8225
P: 0.5685 0.0000 0.0501
P: 0.7493 0.5000 0.2166
P: 0.9405 0.0000 0.8412
P: 0.9411 0.5000 0.6150

Properties
Magnetization in μB per cell: 0.0
ΔE_f in kJ/mol of atoms: -101.6
N(E_F) in states/eV/cell: 20.644
Crystal system: monoclinic
SG: Pm (6)

=====

Record 2
The following is a GGA-PBEsol calculation of a relaxed HgPt3 crystal, from Alexandria via LeMat-Bulk.

abc: 4.0026 4.0026 4.0026
angles: 90.00 90.00 90.00
Atoms (fractional coordinates):
Hg: 0.0000 0.0000 0.0000
Pt: 0.0000 0.5000 0.5000
Pt: 0.5000 0.0000 0.5000
Pt: 0.5000 0.5000 0.0000

Properties
Magnetization in μB per cell: 0.0
ΔE_f in kJ/mol of atoms: 4.4
N(E_F) in states/eV/cell: 4.021
Crystal system: cubic
SG: Pm-3m (221)

=====

Record 3
The following is a GGA-PBEsol calculation of a relaxed BaLiMg2Ga crystal, from Alexandria via LeMat-Bulk.

abc: 5.1961 5.1961 5.1910
angles: 90.00 90.00 90.00
Atoms (fractional coordinates):
Ba: 0.0000 0.0000 0.0000
Li: 0.5000 0.5000 0.0000
Mg: 0.0000 0.5000 0.5000
Mg: 0.5000 0.0000 0.5000
Ga: 0.5000 0.5000 0.5000

Properties
Magnetization in μB per cell: 0.0
ΔE_f in kJ/mol of atoms: -4.4
N(E_F) in states/eV/cell: 3.679
Crystal system: tetragonal
SG: P4/mmm (123)

=====

Record 4
The following is a GGA-PBEsol calculation of a relaxed Ni2Pt3 crystal, from Alexandria via LeMat-Bulk.

abc: 4.6040 4.6213 7.0131
angles: 70.88 71.45 80.84
Atoms (fractional coordinates):
Ni: 0.2471 0.2485 0.2526
Ni: 0.2480 0.6478 0.4491
Ni: 0.7520 0.3522 0.5509
Ni: 0.7529 0.7515 0.7474
Pt: 0.2461 0.0611 0.6353
Pt: 0.2515 0.8465 0.0559
Pt: 0.2562 0.4616 0.8381
Pt: 0.7438 0.5384 0.1619
Pt: 0.7485 0.1535 0.9441
Pt: 0.7539 0.9389 0.3647

Properties
Magnetization in μB per cell: 4.6
ΔE_f in kJ/mol of atoms: -4.4
N(E_F) in states/eV/cell: 16.578
Crystal system: triclinic
SG: P-1 (2)
Energy relative to the lowest polymorph listed for this composition in kJ/mol of formula units: 0

=====

Record 5
The following is a GGA-PBEsol calculation of a relaxed MnBe2Al crystal, from Alexandria via LeMat-Bulk.

abc: 4.4082 4.4082 4.4082
angles: 136.66 136.66 62.96
Atoms (fractional coordinates):
Mn: 0.0000 0.0000 0.0000
Be: 0.2500 0.7500 0.5000
Be: 0.5000 0.5000 0.0000
Al: 0.7500 0.2500 0.5000

Properties
Magnetization in μB per cell: 0.0
ΔE_f in kJ/mol of atoms: -12.0
Crystal system: tetragonal
SG: I-4m2 (119)

=====

Record 6
The following is a GGA-PBEsol calculation of a relaxed SbMoIr2 crystal, from Alexandria via LeMat-Bulk.

abc: 9.0875 9.0875 9.0875
angles: 18.27 18.27 18.27
Atoms (fractional coordinates):
Sb: 0.0000 0.0000 0.0000
Mo: 0.5000 0.5000 0.5000
Ir: 0.2462 0.2462 0.2462
Ir: 0.7538 0.7538 0.7538

Properties
Magnetization in μB per cell: 0.0
N(E_F) in states/eV/cell: 2.588
Crystal system: trigonal
SG: R-3m (166)
E in eV/atom: -8.801

=====

Record 7
The following is a GGA-PBEsol calculation of a relaxed Co5Rh crystal, from Alexandria via LeMat-Bulk.

abc: 5.5815 5.5815 3.5384
angles: 90.00 90.00 143.17
Atoms (fractional coordinates):
Co: 0.0000 0.0000 0.0000
Co: 0.1711 0.8289 0.5000
Co: 0.3286 0.6714 0.0000
Co: 0.6714 0.3286 0.0000
Co: 0.8289 0.1711 0.5000
Rh: 0.5000 0.5000 0.5000

Properties
Magnetization in μB per cell: 8.9
ΔE_f in kJ/mol of atoms: 5.2
N(E_F) in states/eV/cell: 7.830
Crystal system: orthorhombic
SG: Cmmm (65)

=====

Record 8
The following is a GGA-PBEsol calculation of a relaxed TlRe2Os crystal, from Alexandria via LeMat-Bulk.

abc: 2.8383 2.8383 7.9624
angles: 90.00 90.00 90.00
Atoms (fractional coordinates):
Tl: 0.0000 0.0000 0.0000
Re: 0.0000 0.0000 0.4935
Re: 0.5000 0.5000 0.7198
Os: 0.5000 0.5000 0.2751

Properties
Magnetization in μB per cell: 0.0
ΔE_f in kJ/mol of atoms: 53.1
N(E_F) in states/eV/cell: 3.699
Crystal system: tetragonal
SG: P4mm (99)
Energy relative to the lowest polymorph listed for this composition in kJ/mol of formula units: 0

=====

Record 9
The following is a GGA-PBEsol calculation of a relaxed AlTc2P crystal, from Alexandria via LeMat-Bulk.

abc: 4.1756 4.1756 4.1756
angles: 60.00 60.00 60.00
Atoms (fractional coordinates):
Al: 0.0000 0.0000 0.0000
Tc: 0.2500 0.2500 0.2500
Tc: 0.7500 0.7500 0.7500
P: 0.5000 0.5000 0.5000

Properties
Magnetization in μB per cell: 0.0
ΔE_f in kJ/mol of atoms: -30.1
N(E_F) in states/eV/cell: 2.724
Crystal system: cubic
SG: Fm-3m (225)
Energy relative to the lowest polymorph listed for this composition in kJ/mol of formula units: 0

=====

Record 10
The following is a GGA-PBEsol calculation of a relaxed Mo3W crystal, from Alexandria via LeMat-Bulk.

abc: 6.2654 6.2654 6.2655
angles: 90.01 90.01 89.98
Atoms (fractional coordinates):
Mo: 0.9996 0.9996 0.0000
Mo: 0.9996 0.9996 0.5005
Mo: 0.9996 0.5000 0.0000
Mo: 0.9996 0.5000 0.5004
Mo: 0.2496 0.7500 0.2500
Mo: 0.2495 0.7501 0.7505
Mo: 0.5000 0.9996 0.0000
Mo: 0.5000 0.9996 0.5004
Mo: 0.5000 0.5000 0.0000
Mo: 0.7500 0.2496 0.2500
Mo: 0.7501 0.2495 0.7505
Mo: 0.7500 0.7500 0.7504
W: 0.2495 0.2495 0.2499
W: 0.2495 0.2495 0.7505
W: 0.5001 0.5001 0.5006
W: 0.7501 0.7501 0.2499

Properties
Magnetization in μB per cell: 0.0
ΔE_f in kJ/mol of atoms: 0.1
N(E_F) in states/eV/cell: 10.198
Crystal system: monoclinic
SG: Cm (8)
Energy relative to the lowest polymorph listed for this composition in kJ/mol of formula units: 1

=====

Record 11
The following is a GGA-PBEsol calculation of a relaxed CaCdSe2 crystal, from Alexandria via LeMat-Bulk.

abc: 5.0369 5.0369 5.0369
angles: 60.00 60.00 60.00
Atoms (fractional coordinates):
Ca: 0.0000 0.0000 0.0000
Cd: 0.2500 0.2500 0.2500
Se: 0.5000 0.5000 0.5000
Se: 0.7500 0.7500 0.7500

Properties
Magnetization in μB per cell: 0.0
N(E_F) in states/eV/cell: 1.902
Crystal system: cubic
SG: F-43m (216)
E in eV/atom: -3.228

=====

Record 12
The following is a GGA-PBEsol calculation of a relaxed ZnSiNi6 crystal, from Alexandria via LeMat-Bulk.

abc: 6.0418 6.0418 9.8692
angles: 90.00 90.00 109.48
Atoms (fractional coordinates):
Zn: 0.0000 0.0000 0.2493
Zn: 0.0000 0.0000 0.7507
Zn: 0.2457 0.7543 0.0000
Zn: 0.7543 0.2457 0.0000
Si: 0.2454 0.7546 0.5000
Si: 0.5000 0.5000 0.2484
Si: 0.5000 0.5000 0.7516
Si: 0.7546 0.2454 0.5000
Ni: 0.0000 0.0000 0.0000
Ni: 0.0000 0.0000 0.5000
Ni: 0.1295 0.3807 0.3774
Ni: 0.1295 0.3807 0.6226
Ni: 0.1316 0.3803 0.1278
Ni: 0.1316 0.3803 0.8722
Ni: 0.2509 0.7491 0.2555
Ni: 0.2509 0.7491 0.7445
Ni: 0.3803 0.1316 0.1278
Ni: 0.3803 0.1316 0.8722
Ni: 0.3807 0.1295 0.3774
Ni: 0.3807 0.1295 0.6226
Ni: 0.5000 0.5000 0.0000
Ni: 0.5000 0.5000 0.5000
Ni: 0.6193 0.8705 0.3774
Ni: 0.6193 0.8705 0.6226
Ni: 0.6197 0.8684 0.1278
Ni: 0.6197 0.8684 0.8722
Ni: 0.7491 0.2509 0.2555
Ni: 0.7491 0.2509 0.7445
Ni: 0.8684 0.6197 0.1278
Ni: 0.8684 0.6197 0.8722
Ni: 0.8705 0.6193 0.3774
Ni: 0.8705 0.6193 0.6226

Properties
Magnetization in μB per cell: 5.5
N(E_F) in states/eV/cell: 33.149
Crystal system: orthorhombic
SG: Cmmm (65)
E in eV/atom: -5.855